(1)
The following is a DFT calculation (GGA-PBE) of crystalline TlCd3Se4 at its relaxed geometry.

Calculated values
Fermi-level density of states in states/eV per atom: 0.41
Raw total energy in eV per cell: -23.00

Lattice parameters (Å, degrees): 6.3346 6.3346 7.7443 114.14 114.14 90.00
Element x y z (fractional)
Se1 0.8668 0.8668 0.2620
Se2 0.6048 0.1332 0.7380
Se3 0.3952 0.3952 0.2620
Se4 0.1332 0.6048 0.7380
Tl1 0.0000 0.0000 0.0000
Cd1 0.2500 0.7500 0.5000
Cd2 0.5000 0.5000 0.0000
Cd3 0.7500 0.2500 0.5000

=====

(2)
The following is a DFT calculation (GGA-PBE) of crystalline TlCdSe2 at its relaxed geometry.

Calculated values
Fermi-level density of states in states/eV per atom: 0.47
Raw total energy in eV per cell: -11.02

Lattice parameters (Å, degrees): 4.3874 4.3874 7.8584 90.00 90.00 124.91
Element x y z (fractional)
Cd1 0.5000 0.5000 0.7500
Se1 0.0000 0.0000 0.5230
Se2 0.0000 0.0000 0.9770
Tl1 0.5000 0.5000 0.2500

=====

(3)
The following is a DFT calculation (GGA-PBE) of crystalline TlCdSe2 at its relaxed geometry.

Calculated values
Fermi-level density of states in states/eV per atom: 0.30
Raw total energy in eV per cell: -10.74

Lattice parameters (Å, degrees): 3.1676 3.8770 8.2013 90.00 90.00 90.00
Element x y z (fractional)
Se1 0.0000 0.0000 0.9648
Se2 0.0000 0.0000 0.5352
Tl1 0.5000 0.5000 0.2500
Cd1 0.5000 0.5000 0.7500

=====

(4)
The following is a DFT calculation (GGA-PBE) of crystalline TlCd2Se at its relaxed geometry.

Calculated values
E above lowest polymorph in meV/atom: 0.0
Fermi-level density of states in states/eV per atom: 0.27
Raw total energy in eV per cell: -8.35

Lattice parameters (Å, degrees): 4.1773 4.1773 7.8600 74.76 74.76 59.91
Element x y z (fractional)
Tl1 0.7585 0.7585 0.7286
Cd1 0.2414 0.2414 0.2739
Cd2 0.9895 0.9895 0.0308
Se1 0.5106 0.5106 0.4666

=====

(5)
The following is a DFT calculation (GGA-PBE) of crystalline TlCdSe2 at its relaxed geometry.

Calculated values
Fermi-level density of states in states/eV per atom: 0.43
Raw total energy in eV per cell: -11.10

Lattice parameters (Å, degrees): 3.9788 3.3093 8.1572 79.42 90.00 90.00
Element x y z (fractional)
Tl1 0.5000 0.2500 0.2500
Se1 0.0000 0.6207 0.5288
Se2 0.0000 0.8793 0.9712
Cd1 0.5000 0.7500 0.7500

=====

(6)
The following is a DFT calculation (GGA-PBE) of crystalline Tl12CdSe7 at its relaxed geometry.

Calculated values
Fermi-level density of states in states/eV per atom: 0.12
Raw total energy in eV per cell: -60.08

Lattice parameters (Å, degrees): 10.1217 9.4965 9.4965 108.10 110.81 110.81
Element x y z (fractional)
Se1 0.9387 0.0292 0.2796
Se2 0.3410 0.2796 0.2504
Se3 0.6590 0.7204 0.7496
Se4 0.0906 0.7496 0.0292
Se5 0.9094 0.2504 0.9708
Se6 0.0613 0.9708 0.7204
Se7 0.5000 0.0000 0.0000
Tl1 0.3322 0.3548 0.5683
Tl2 0.2361 0.5683 0.2135
Tl3 0.5835 0.7372 0.0373
Tl4 0.9775 0.2135 0.6452
Tl5 0.6678 0.6452 0.4317
Tl6 0.8464 0.3001 0.2628
Tl7 0.5463 0.9627 0.6999
Tl8 0.4537 0.0373 0.3001
Tl9 0.0225 0.7865 0.3548
Tl10 0.7639 0.4317 0.7865
Tl11 0.1536 0.6999 0.7372
Tl12 0.4165 0.2628 0.9627
Cd1 0.0000 0.0000 0.0000

=====

(7)
The following is a DFT calculation (GGA-PBE) of crystalline TlCdSe2 at its relaxed geometry.

Calculated values
Fermi-level density of states in states/eV per atom: 0.88
Raw total energy in eV per cell: -11.65

Lattice parameters (Å, degrees): 4.5050 4.5059 7.6525 89.99 90.02 120.01
Element x y z (fractional)
Se1 0.4026 0.8293 0.5842
Se2 0.7360 0.4954 0.0437
Cd1 0.7359 0.4960 0.6916
Tl1 0.4029 0.8288 0.1992

=====

(8)
The following is a DFT calculation (GGA-PBE) of crystalline Tl14Cd2Se9 at its relaxed geometry.

Calculated values
Raw total energy in eV per cell: -75.71

Lattice parameters (Å, degrees): 9.3340 9.3340 11.2469 90.00 90.00 120.00
Element x y z (fractional)
Tl1 0.6675 0.6607 0.0970
Tl2 0.9077 0.5760 0.3694
Tl3 0.3317 0.9077 0.6306
Tl4 0.4240 0.3317 0.3694
Tl5 0.0000 0.0000 0.2880
Tl6 0.9931 0.3325 0.0970
Tl7 0.0069 0.6675 0.9030
Tl8 0.6683 0.0923 0.3694
Tl9 0.3393 0.0069 0.0970
Tl10 0.0000 0.0000 0.7120
Tl11 0.3325 0.3393 0.9030
Tl12 0.0923 0.4240 0.6306
Tl13 0.6607 0.9931 0.9030
Tl14 0.5760 0.6683 0.6306
Cd1 0.6667 0.3333 0.7202
Cd2 0.3333 0.6667 0.2798
Se1 0.3333 0.6667 0.0403
Se2 0.6667 0.3333 0.9597
Se3 0.6317 0.7390 0.3676
Se4 0.7390 0.1072 0.6324
Se5 0.3683 0.2610 0.6324
Se6 0.2610 0.8928 0.3676
Se7 0.1072 0.3683 0.3676
Se8 0.8928 0.6317 0.6324
Se9 0.0000 0.0000 0.0000

=====

(9)
The following is a DFT calculation (GGA-PBE) of crystalline TlCd2Se at its relaxed geometry.

Calculated values
E above lowest polymorph in meV/atom: 10.9
Fermi-level density of states in states/eV per atom: 0.57
Raw total energy in eV per cell: -8.31

Lattice parameters (Å, degrees): 8.1206 8.1206 8.1206 28.40 28.40 28.40
Element x y z (fractional)
Tl1 0.7500 0.7500 0.7500
Cd1 0.5118 0.5118 0.5118
Cd2 0.9882 0.9882 0.9882
Se1 0.2500 0.2500 0.2500

=====

(10)
The following is a DFT calculation (GGA-PBE) of crystalline TlCdSe2 at its relaxed geometry.

Calculated values
Fermi-level density of states in states/eV per atom: 0.57
Raw total energy in eV per cell: -11.04

Lattice parameters (Å, degrees): 5.6615 5.6615 5.6615 137.20 104.51 90.90
Element x y z (fractional)
Se1 0.0313 0.0313 0.0000
Se2 0.4687 0.4687 0.0000
Cd1 0.2500 0.7500 0.5000
Tl1 0.7500 0.2500 0.5000

=====

(11)
The following is a DFT calculation (GGA-PBE) of crystalline Tl2CdSe at its relaxed geometry.

Calculated values
E above lowest polymorph in meV/atom: 83.7
Fermi-level density of states in states/eV per atom: 0.40
Raw total energy in eV per cell: -9.63

Lattice parameters (Å, degrees): 8.3780 5.0844 4.3541 89.75 59.04 127.13
Element x y z (fractional)
Cd1 0.0000 0.5000 0.5000
Tl1 0.0000 0.0000 0.0000
Tl2 0.5000 0.0000 0.5000
Se1 0.5000 0.5000 0.0000

=====

(12)
The following is a DFT calculation (GGA-PBE) of crystalline TlCdSe2 at its relaxed geometry.

Calculated values
Fermi-level density of states in states/eV per atom: 0.56
Raw total energy in eV per cell: -23.53

Lattice parameters (Å, degrees): 6.4444 6.4444 7.9264 66.01 66.01 90.00
Element x y z (fractional)
Se1 0.3750 0.4003 0.7500
Se2 0.8750 0.8497 0.7500
Se3 0.5997 0.1250 0.2500
Se4 0.1503 0.6250 0.2500
Cd1 0.5000 0.5000 0.0000
Cd2 0.2500 0.7500 0.5000
Tl1 0.0000 0.0000 0.0000
Tl2 0.7500 0.2500 0.5000

=====

ΔE_f (raw): -47.6, -18.6, -11.8, -16.2, -20.5, -30.8, -33.7, -36.2, -15.2, -19.1, -12.0, -36.5 (kJ per mole of atoms)